(1)
First-principles (PBE-GGA) data for an optimized crystal structure of Cs2VCu2Te4, as listed in Alexandria.

The structure in POSCAR format:
```
Cs2VCu2Te4
1.0
-2.255 2.228 2.745
-4.428 -7.349 2.326
7.356 -0.556 3.291
Cs V Cu Te
2 1 2 4
direct
0.133 0.564 0.266
0.867 0.436 0.734
0.000 0.000 0.000
0.692 0.988 0.384
0.308 0.012 0.616
0.186 0.165 0.372
0.814 0.835 0.628
0.521 0.804 0.042
0.479 0.196 0.958
```

Computed properties:
For the magnetization, the calculation gives 1.5 Bohr magnetons per cell. For the volume, the calculation gives 30.8 A^3/atom. The uncorrected energy is -36.0 eV/f.u. The calculated density comes out at 5.71 g/cm³.

---

(2)
First-principles (PBE-GGA) data for an optimized crystal structure of Cr3As, as listed in Alexandria.

The structure in POSCAR format:
```
Cr3As
1.0
-3.450 1.001 3.582
-1.181 0.599 -4.897
-1.385 -4.151 -0.174
Cr As
6 2
direct
0.835 0.670 0.250
0.330 0.165 0.250
0.835 0.165 0.250
0.165 0.330 0.750
0.670 0.835 0.750
0.165 0.835 0.750
0.333 0.667 0.250
0.667 0.333 0.750
```

Computed properties:
For the magnetization, the calculation gives 0.0 Bohr magnetons per cell. For the volume, the calculation gives 12.2 A^3/atom. The uncorrected energy is -33.2 eV/f.u. The formation energy comes out at 0.08 eV/atom. The calculated density comes out at 7.86 g/cm³.

---

(3)
First-principles (PBE-GGA) data for an optimized crystal structure of Nd4GaPS2, as listed in Alexandria.

The structure in POSCAR format:
```
Nd4GaPS2
1.0
-2.785 -0.420 2.986
-2.821 -5.722 -3.436
3.354 -6.005 2.284
Nd Ga P S
4 1 1 2
direct
0.000 0.756 0.742
0.000 0.244 0.258
0.500 0.747 0.256
0.500 0.253 0.744
0.500 0.500 0.000
0.000 0.500 0.500
0.000 0.000 0.000
0.500 0.000 0.500
```

Computed properties:
For the magnetization, the calculation gives 0.0 Bohr magnetons per cell. For the volume, the calculation gives 25.5 A^3/atom. The uncorrected energy is -48.0 eV/f.u. The calculated density comes out at 6.04 g/cm³.

---

(4)
First-principles (PBE-GGA) data for an optimized crystal structure of Mn2Hg2I, as listed in Alexandria.

The structure in POSCAR format:
```
Mn2Hg2I
1.0
-8.387 2.435 0.865
-0.384 -4.079 7.761
0.884 2.553 1.386
I Mn Hg
2 4 4
direct
0.000 0.000 0.000
0.500 0.500 0.000
0.113 0.613 0.500
0.613 0.887 0.500
0.887 0.387 0.500
0.387 0.113 0.500
0.322 0.822 0.000
0.822 0.678 0.000
0.678 0.178 0.000
0.178 0.322 0.000
```

Computed properties:
For the magnetization, the calculation gives 17.1 Bohr magnetons per cell. For the volume, the calculation gives 23.4 A^3/atom. The uncorrected energy is -18.0 eV/f.u. The energy above the most stable polymorph in this dataset is 0.26 eV per formula unit. The calculated density comes out at 9.06 g/cm³.

---

(5)
First-principles (PBE-GGA) data for an optimized crystal structure of P3C, as listed in Alexandria.

The structure in POSCAR format:
```
P3C
1.0
4.895 0.000 -0.037
0.000 3.063 0.000
-0.479 0.000 8.356
P C
6 2
direct
0.111 0.000 0.644
0.111 0.500 0.144
0.408 0.000 0.432
0.408 0.500 0.932
0.709 0.000 0.949
0.709 0.500 0.449
0.211 0.000 0.247
0.211 0.500 0.747
```

Computed properties:
For the magnetization, the calculation gives 0.0 Bohr magnetons per cell. For the volume, the calculation gives 15.7 A^3/atom. The uncorrected energy is -23.4 eV/f.u. The energy above the most stable polymorph in this dataset is 0.41 eV per formula unit. The formation energy comes out at 0.51 eV/atom. The calculated density comes out at 2.78 g/cm³.

---

(6)
First-principles (PBE-GGA) data for an optimized crystal structure of LiNiBr, as listed in Alexandria.

The structure in POSCAR format:
```
LiNiBr
1.0
4.735 0.005 -0.009
0.161 8.264 0.002
-1.207 -0.654 3.100
Ni Br Li
2 2 2
direct
0.909 0.908 0.160
0.091 0.092 0.840
0.261 0.293 0.523
0.739 0.707 0.477
0.669 0.186 0.175
0.331 0.814 0.825
```

Computed properties:
For the magnetization, the calculation gives 0.0 Bohr magnetons per cell. For the volume, the calculation gives 20.2 A^3/atom. The uncorrected energy is -10.5 eV/f.u. The energy above the most stable polymorph in this dataset is 0.19 eV per formula unit. The calculated density comes out at 3.99 g/cm³.

---

(7)
First-principles (PBE-GGA) data for an optimized crystal structure of V4CuNi2, as listed in Alexandria.

The structure in POSCAR format:
```
V4CuNi2
1.0
4.387 0.000 0.000
0.000 4.387 0.000
2.194 2.194 5.865
Ni Cu V
2 1 4
direct
0.396 0.396 0.208
0.604 0.604 0.792
0.000 0.000 0.000
0.201 0.201 0.598
0.799 0.799 0.402
0.000 0.500 0.000
0.500 0.000 0.000
```

Computed properties:
For the magnetization, the calculation gives 4.2 Bohr magnetons per cell. For the volume, the calculation gives 16.1 A^3/atom. The uncorrected energy is -45.3 eV/f.u. The formation energy comes out at 0.98 eV/atom. The calculated density comes out at 5.66 g/cm³.

---

(8)
First-principles (PBE-GGA) data for an optimized crystal structure of NbSiNi2Ru, as listed in Alexandria.

The structure in POSCAR format:
```
NbSiNi2Ru
1.0
4.104 0.000 0.000
0.000 4.389 0.000
0.000 0.000 4.104
Ru Nb Si Ni
1 1 1 2
direct
0.000 0.500 0.000
0.500 0.500 0.500
0.000 0.000 0.000
0.000 0.000 0.500
0.500 0.000 0.000
```

Computed properties:
For the magnetization, the calculation gives 0.7 Bohr magnetons per cell. For the volume, the calculation gives 14.8 A^3/atom. The uncorrected energy is -34.4 eV/f.u. The calculated density comes out at 7.63 g/cm³.